(1)
Here is a relaxed structure of Pr4CuSe2Cl from Alexandria. Energies are from PBE.

Structure (extended XYZ):
```
8
Lattice="7.386 0.000 0.000 0.000 4.127 0.000 -2.335 0.000 7.035" Properties=species:S:1:pos:R:3 pbc="T T T"
Pr 1.191 0.000 1.728
Pr 0.040 2.063 5.211
Pr 5.012 2.063 1.823
Pr 3.860 0.000 5.307
Cu -1.167 0.000 3.517
Se 0.000 2.063 0.000
Se 3.693 0.000 0.000
Cl 2.526 2.063 3.517
```

- Crystal system: monoclinic

(2)
Here is a relaxed structure of Pr8CuSi3Cl4 from Alexandria. Energies are from PBE.

Structure (extended XYZ):
```
16
Lattice="4.254 2.456 6.953 -4.254 2.456 6.953 0.000 -4.912 6.953" Properties=species:S:1:pos:R:3 pbc="T T T"
Pr -2.145 -1.238 12.041
Pr 0.000 0.000 5.073
Pr 0.000 -2.477 8.818
Pr -2.145 1.238 8.818
Pr 2.145 -1.238 12.041
Pr 0.000 2.477 12.041
Pr 0.000 0.000 15.785
Pr 2.145 1.238 8.818
Cu 0.000 0.000 10.429
Si -4.254 0.000 10.429
Si -2.127 1.228 3.476
Si 2.127 1.228 3.476
Cl 0.000 0.000 0.000
Cl -2.127 -1.228 6.953
Cl -2.127 1.228 13.906
Cl 0.000 2.456 6.953
```

- Crystal system: trigonal

(3)
Here is a relaxed structure of PrTlCuCl5 from Alexandria. Energies are from PBE.

Structure (extended XYZ):
```
16
Lattice="4.468 -6.049 0.000 4.468 6.049 0.000 -4.055 0.000 9.459" Properties=species:S:1:pos:R:3 pbc="T T T"
Pr 0.000 0.000 0.000
Pr -2.027 0.000 4.730
Tl 1.427 1.723 7.094
Tl 3.454 -1.723 2.365
Cu 3.454 2.294 2.365
Cu 1.427 -2.294 7.094
Cl 1.427 4.987 7.094
Cl 1.928 3.595 3.548
Cl 2.539 0.850 0.727
Cl 4.980 3.595 1.181
Cl 0.511 -0.850 5.456
Cl 4.369 0.850 4.003
Cl -0.100 -3.595 8.278
Cl 2.342 -0.850 8.732
Cl 2.953 -3.595 5.911
Cl 3.454 -4.987 2.365
```

- Crystal system: monoclinic

(4)
Here is a relaxed structure of PrTl2CuCl6 from Alexandria. Energies are from PBE.

Structure (extended XYZ):
```
10
Lattice="7.183 -3.597 0.000 7.183 3.597 0.000 -2.541 0.000 6.109" Properties=species:S:1:pos:R:3 pbc="T T T"
Pr 0.000 0.000 0.000
Tl 1.641 0.000 4.909
Tl 10.183 0.000 1.201
Cu 5.912 0.000 3.055
Cl 2.091 0.000 1.797
Cl 5.674 1.682 1.347
Cl 6.151 1.682 4.763
Cl 5.674 -1.682 1.347
Cl 6.151 -1.682 4.763
Cl 9.733 0.000 4.312
```

- Crystal system: monoclinic

(5)
Here is a relaxed structure of CuPtCl from Alexandria. Energies are from PBE.

Structure (extended XYZ):
```
6
Lattice="11.893 0.000 0.000 0.000 1.511 2.713 0.000 -1.511 2.713" Properties=species:S:1:pos:R:3 pbc="T T T"
Cu 0.000 0.000 0.000
Cu 5.947 0.000 1.635
Pt 1.877 0.000 1.801
Pt 10.016 0.000 1.801
Cl 4.206 0.000 4.380
Cl 7.687 0.000 4.380
```

- E above lowest polymorph: 0.019 eV/atom
- Crystal system: orthorhombic

(6)
Here is a relaxed structure of CuPt2Cl from Alexandria. Energies are from PBE.

Structure (extended XYZ):
```
4
Lattice="2.875 0.000 0.000 0.000 2.875 0.000 0.000 0.000 7.772" Properties=species:S:1:pos:R:3 pbc="T T T"
Cu 0.000 0.000 0.000
Pt 0.000 0.000 3.667
Pt 1.437 1.437 1.771
Cl 1.437 1.437 6.151
```

- E above lowest polymorph: 0.125 eV/atom
- Crystal system: tetragonal

| no. | D(E_F) (states/eV/atom) | DFT total energy (eV/atom) | ΔE_f (raw) (eV/atom) |
| --- | --- | --- | --- |
| 1 | 0.53 | -5.3271 | -1.3234 |
| 2 | 0.44 | -5.1969 | -1.0726 |
| 3 | 0.00 | -4.0417 | -1.4823 |
| 4 | 0.00 | -3.8225 | -1.3537 |
| 5 | 1.01 | -3.8066 | 0.1879 |
| 6 | 1.70 | -4.2586 | 0.2475 |